1.
First-principles (PBE-GGA) data for RbNd2InO5 after structural relaxation, as listed in Alexandria via LeMat-Bulk.

Lattice parameters (Å, degrees): 7.840 7.840 7.840 127.67 127.67 77.16
Fractional coordinates of all 18 atoms:
Rb (0.250, 0.250, 0.000)
Rb (0.750, 0.750, 0.000)
Nd (0.180, 0.680, 0.860)
Nd (0.320, 0.180, 0.500)
Nd (0.680, 0.820, 0.500)
Nd (0.820, 0.320, 0.140)
In (0.250, 0.750, 0.500)
In (0.750, 0.250, 0.500)
O (0.000, 0.000, 0.000)
O (0.017, 0.236, 0.500)
O (0.236, 0.736, 0.219)
O (0.264, 0.483, 0.500)
O (0.483, 0.983, 0.219)
O (0.500, 0.500, 0.000)
O (0.517, 0.017, 0.781)
O (0.736, 0.517, 0.500)
O (0.764, 0.264, 0.781)
O (0.983, 0.764, 0.500)

Output
**Space-group type**: I4/mcm
**E**: -6.643 eV per atom
**E_form (uncorrected)**: -2.4169 eV/atom
**DOS at the Fermi energy**: 0.00 states/eV per atom

2.
First-principles (PBE-GGA) data for Rb3Nd2InO6 after structural relaxation, as listed in Alexandria via LeMat-Bulk.

Lattice parameters (Å, degrees): 6.202 6.202 6.904 98.57 98.57 120.02
Fractional coordinates of all 12 atoms:
Rb (0.000, 0.000, 0.000)
Rb (0.337, 0.663, 0.000)
Rb (0.663, 0.337, 0.000)
Nd (0.167, 0.833, 0.500)
Nd (0.833, 0.167, 0.500)
In (0.500, 0.500, 0.500)
O (0.120, 0.440, 0.319)
O (0.240, 0.240, 0.681)
O (0.440, 0.120, 0.319)
O (0.560, 0.880, 0.681)
O (0.760, 0.760, 0.319)
O (0.880, 0.560, 0.681)

Output
**Space-group type**: C2/m
**E**: -5.904 eV per atom
**E_form (uncorrected)**: -2.1600 eV/atom
**DOS at the Fermi energy**: 0.00 states/eV per atom

3.
First-principles (PBE-GGA) data for Nd2InRhO6 after structural relaxation, as listed in Alexandria via LeMat-Bulk.

Lattice parameters (Å, degrees): 5.580 5.928 9.673 90.00 123.90 90.00
Fractional coordinates of all 20 atoms:
Nd (0.226, 0.069, 0.250)
Nd (0.226, 0.431, 0.750)
Nd (0.774, 0.569, 0.250)
Nd (0.774, 0.931, 0.750)
In (0.500, 0.000, 0.000)
In (0.500, 0.500, 0.500)
Rh (0.000, 0.000, 0.500)
Rh (0.000, 0.500, 0.000)
O (0.123, 0.201, 0.939)
O (0.123, 0.299, 0.439)
O (0.244, 0.694, 0.940)
O (0.244, 0.806, 0.440)
O (0.362, 0.045, 0.742)
O (0.362, 0.455, 0.242)
O (0.638, 0.545, 0.758)
O (0.638, 0.955, 0.258)
O (0.756, 0.194, 0.560)
O (0.756, 0.306, 0.060)
O (0.877, 0.701, 0.561)
O (0.877, 0.799, 0.061)

Output
**Space-group type**: P2_1/c
**E**: -7.184 eV per atom
**E_form (uncorrected)**: -2.2463 eV/atom

4.
First-principles (PBE-GGA) data for NdInSO2 after structural relaxation, as listed in Alexandria via LeMat-Bulk.

Lattice parameters (Å, degrees): 7.047 4.175 7.404 90.00 115.46 90.00
Fractional coordinates of all 10 atoms:
Nd (0.236, 0.250, 0.047)
Nd (0.764, 0.750, 0.953)
In (0.298, 0.750, 0.462)
In (0.702, 0.250, 0.538)
S (0.278, 0.750, 0.783)
S (0.722, 0.250, 0.217)
O (0.132, 0.750, 0.140)
O (0.355, 0.250, 0.402)
O (0.645, 0.750, 0.598)
O (0.868, 0.250, 0.860)

Output
**Space-group type**: P2_1/m
**E**: -6.405 eV per atom
**E_form (uncorrected)**: -2.0945 eV/atom
**DOS at the Fermi energy**: 0.00 states/eV per atom

5.
First-principles (PBE-GGA) data for NdInS2O after structural relaxation, as listed in Alexandria via LeMat-Bulk.

Lattice parameters (Å, degrees): 4.000 4.000 13.015 90.00 90.00 90.00
Fractional coordinates of all 10 atoms:
Nd (0.250, 0.250, 0.094)
Nd (0.750, 0.750, 0.906)
In (0.250, 0.250, 0.609)
In (0.750, 0.750, 0.391)
S (0.250, 0.250, 0.415)
S (0.250, 0.250, 0.794)
S (0.750, 0.750, 0.206)
S (0.750, 0.750, 0.585)
O (0.250, 0.750, 0.000)
O (0.750, 0.250, 0.000)

Output
**Space-group type**: P4/nmm
**E**: -5.921 eV per atom
**E_form (uncorrected)**: -1.7771 eV/atom

6.
First-principles (PBE-GGA) data for Nd2InS2O2 after structural relaxation, as listed in Alexandria via LeMat-Bulk.

Lattice parameters (Å, degrees): 6.703 6.703 7.268 121.10 121.10 32.54
Fractional coordinates of all 7 atoms:
Nd (0.170, 0.170, 0.102)
Nd (0.830, 0.830, 0.898)
In (0.000, 0.000, 0.500)
S (0.463, 0.463, 0.749)
S (0.537, 0.537, 0.251)
O (0.212, 0.212, 0.822)
O (0.788, 0.788, 0.178)

Output
**Space-group type**: C2/m
**E**: -6.424 eV per atom
**E_form (uncorrected)**: -2.0749 eV/atom
**DOS at the Fermi energy**: 0.26 states/eV per atom

7.
First-principles (PBE-GGA) data for Nd2ScInO after structural relaxation, as listed in Alexandria via LeMat-Bulk.

Lattice parameters (Å, degrees): 5.056 5.056 4.427 90.00 90.00 90.00
Fractional coordinates of all 5 atoms:
Nd (0.000, 0.500, 0.000)
Nd (0.500, 0.000, 0.000)
Sc (0.000, 0.000, 0.500)
In (0.500, 0.500, 0.500)
O (0.000, 0.000, 0.000)

Output
**Space-group type**: P4/mmm
**E**: -6.111 eV per atom
**E_form (uncorrected)**: -1.3982 eV/atom
**DOS at the Fermi energy**: 0.81 states/eV per atom

8.
First-principles (PBE-GGA) data for NdInSe2O after structural relaxation, as listed in Alexandria via LeMat-Bulk.

Lattice parameters (Å, degrees): 4.102 4.102 13.612 90.00 90.00 90.00
Fractional coordinates of all 10 atoms:
Nd (0.250, 0.250, 0.087)
Nd (0.750, 0.750, 0.913)
In (0.250, 0.250, 0.611)
In (0.750, 0.750, 0.389)
Se (0.250, 0.250, 0.414)
Se (0.250, 0.250, 0.799)
Se (0.750, 0.750, 0.201)
Se (0.750, 0.750, 0.586)
O (0.250, 0.750, 0.000)
O (0.750, 0.250, 0.000)

Output
**Space-group type**: P4/nmm
**E**: -5.620 eV per atom
**E_form (uncorrected)**: -1.7336 eV/atom

- Which formula does entry 8 have?
  NdInSe2O